1.
Entry from Alexandria via LeMat-Bulk: a relaxed CdIr3Cl crystal (GGA-PBEsol).

space-group type = Pm-3m (221)

Unit cell a=4.4018 b=4.4018 c=4.4018 alpha=90.00 beta=90.00 gamma=90.00
Last column: nearest neighbours and their distance in Å.
Fractional positions:
Cd: 0.0000 0.0000 0.0000  12 Ir 3.11
Ir: 0.0000 0.5000 0.5000  2 Cl 2.20
Ir: 0.5000 0.0000 0.5000  2 Cl 2.20
Ir: 0.5000 0.5000 0.0000  2 Cl 2.20
Cl: 0.5000 0.5000 0.5000  6 Ir 2.20

2.
Entry from Alexandria via LeMat-Bulk: a relaxed KCd2Cl crystal (GGA-PBEsol).

polymorph energy (0 for the lowest one) = 0.170 eV/atom
space-group type = I-4m2 (119)

Unit cell a=5.3949 b=5.3949 c=5.3949 alpha=120.11 beta=120.11 gamma=89.80
Last column: nearest neighbours and their distance in Å.
Fractional positions:
K: 0.0000 0.0000 0.0000  4 Cd 3.30, 4 Cl 3.30
Cd: 0.5000 0.5000 0.0000  4 Cd 3.30, 4 Cl 3.30
Cd: 0.7500 0.2500 0.5000  4 Cd 3.30, 4 K 3.30
Cl: 0.2500 0.7500 0.5000  4 Cd 3.30, 4 K 3.30

3.
Entry from Alexandria via LeMat-Bulk: a relaxed KCdCl crystal (GGA-PBEsol).

space-group type = F-43m (216)

Unit cell a=5.3476 b=5.3476 c=5.3476 alpha=60.00 beta=60.00 gamma=60.00
Last column: nearest neighbours and their distance in Å.
Fractional positions:
K: 0.0000 0.0000 0.0000  4 Cd 3.27, 4 Cl 3.27
Cd: 0.7500 0.7500 0.7500  4 K 3.27
Cl: 0.2500 0.2500 0.2500  4 K 3.27

4.
Entry from Alexandria via LeMat-Bulk: a relaxed K2CdCl crystal (GGA-PBEsol).

space-group type = F-43m (216)

Unit cell a=5.7924 b=5.7924 c=5.7924 alpha=60.00 beta=60.00 gamma=60.00
Last column: nearest neighbours and their distance in Å.
Fractional positions:
K: 0.0000 0.0000 0.0000  4 Cl 3.55, 4 K 3.55
K: 0.2500 0.2500 0.2500  4 Cd 3.55, 4 K 3.55
Cd: 0.5000 0.5000 0.5000  4 Cl 3.55, 4 K 3.55
Cl: 0.7500 0.7500 0.7500  4 K 3.55, 4 Cd 3.55

5.
Entry from Alexandria via LeMat-Bulk: a relaxed KCd2Cl crystal (GGA-PBEsol).

polymorph energy (0 for the lowest one) = 0.000 eV/atom
space-group type = C2/m (12)

Unit cell a=7.2423 b=7.2423 c=3.9704 alpha=105.88 beta=105.88 gamma=131.92
Last column: nearest neighbours and their distance in Å.
Fractional positions:
K: 0.0000 0.0000 0.0000  4 Cl 2.95
Cd: 0.0000 0.5000 0.5000  4 Cd 2.95
Cd: 0.5000 0.0000 0.5000  4 Cd 2.95
Cl: 0.5000 0.5000 0.0000  4 K 2.95

6.
Entry from Alexandria via LeMat-Bulk: a relaxed K4CdCl6 crystal (GGA-PBEsol).

space-group type = R-3c (167)

Unit cell a=8.5069 b=8.5069 c=8.5069 alpha=89.66 beta=89.66 gamma=89.66
Last column: nearest neighbours and their distance in Å.
Fractional positions:
K: 0.1293 0.7500 0.3707  8 Cl 3.19-3.34
K: 0.2500 0.2500 0.2500  6 Cl 3.06
K: 0.2500 0.6293 0.8707  8 Cl 3.19-3.34
K: 0.3707 0.1293 0.7500  8 Cl 3.19-3.34
K: 0.6293 0.8707 0.2500  8 Cl 3.19-3.34
K: 0.7500 0.3707 0.1293  8 Cl 3.19-3.34
K: 0.7500 0.7500 0.7500  6 Cl 3.06
K: 0.8707 0.2500 0.6293  8 Cl 3.19-3.34
Cd: 0.0000 0.0000 0.0000  6 Cl 2.63
Cd: 0.5000 0.5000 0.5000  6 Cl 2.63
Cl: 0.0574 0.9303 0.7044  1 Cd 2.63
Cl: 0.0697 0.2956 0.9426  1 Cd 2.63
Cl: 0.2044 0.4303 0.5574  1 Cd 2.63
Cl: 0.2956 0.9426 0.0697  1 Cd 2.63
Cl: 0.4303 0.5574 0.2044  1 Cd 2.63
Cl: 0.4426 0.7956 0.5697  1 Cd 2.63
Cl: 0.5574 0.2044 0.4303  1 Cd 2.63
Cl: 0.5697 0.4426 0.7956  1 Cd 2.63
Cl: 0.7044 0.0574 0.9303  1 Cd 2.63
Cl: 0.7956 0.5697 0.4426  1 Cd 2.63
Cl: 0.9303 0.7044 0.0574  1 Cd 2.63
Cl: 0.9426 0.0697 0.2956  1 Cd 2.63

7.
Entry from Alexandria via LeMat-Bulk: a relaxed KCdPCl2 crystal (GGA-PBEsol).

space-group type = P4/mmm (123)

Unit cell a=5.5335 b=5.5335 c=5.8266 alpha=90.00 beta=90.00 gamma=90.00
Last column: nearest neighbours and their distance in Å.
Fractional positions:
K: 0.0000 0.0000 0.0000  4 Cl 2.77, 2 P 2.91
Cd: 0.5000 0.5000 0.5000  4 P 3.91, 8 Cl 4.02
P: 0.0000 0.0000 0.5000  2 K 2.91
Cl: 0.0000 0.5000 0.0000  2 K 2.77
Cl: 0.5000 0.0000 0.0000  2 K 2.77

8.
Entry from Alexandria via LeMat-Bulk: a relaxed Li3CdCl crystal (GGA-PBEsol).

space-group type = Pm-3m (221)

Unit cell a=4.6296 b=4.6296 c=4.6296 alpha=90.00 beta=90.00 gamma=90.00
Last column: nearest neighbours and their distance in Å.
Fractional positions:
Li: 0.0000 0.0000 0.5000  2 Cl 2.31
Li: 0.0000 0.5000 0.0000  2 Cl 2.31
Li: 0.5000 0.0000 0.0000  2 Cl 2.31
Cd: 0.5000 0.5000 0.5000  12 Li 3.27
Cl: 0.0000 0.0000 0.0000  6 Li 2.31

9.
Entry from Alexandria via LeMat-Bulk: a relaxed Li2CdMoCl crystal (GGA-PBEsol).

space-group type = P4/mmm (123)

Unit cell a=5.3376 b=5.3376 c=5.4019 alpha=90.00 beta=90.00 gamma=90.00
Last column: nearest neighbours and their distance in Å.
Fractional positions:
Li: 0.0000 0.5000 0.0000  2 Mo 2.67
Li: 0.5000 0.0000 0.0000  2 Mo 2.67
Cd: 0.0000 0.0000 0.5000  2 Mo 2.70
Mo: 0.0000 0.0000 0.0000  4 Li 2.67, 2 Cd 2.70
Cl: 0.5000 0.5000 0.5000  4 Cd 3.77, 8 Li 3.80

10.
Entry from Alexandria via LeMat-Bulk: a relaxed LiCdNi2Cl crystal (GGA-PBEsol).

space-group type = P4/mmm (123)

Unit cell a=4.1256 b=4.1256 c=4.6910 alpha=90.00 beta=90.00 gamma=90.00
Last column: nearest neighbours and their distance in Å.
Fractional positions:
Li: 0.0000 0.0000 0.0000  4 Ni 2.06
Cd: 0.0000 0.0000 0.5000  2 Li 2.35
Ni: 0.0000 0.5000 0.0000  2 Li 2.06
Ni: 0.5000 0.0000 0.0000  2 Li 2.06
Cl: 0.5000 0.5000 0.5000  4 Cd 2.92, 8 Ni 3.12

11.
Entry from Alexandria via LeMat-Bulk: a relaxed LiCdSCl2 crystal (GGA-PBEsol).

space-group type = P4/mmm (123)

Unit cell a=4.3557 b=4.3557 c=5.1700 alpha=90.00 beta=90.00 gamma=90.00
Last column: nearest neighbours and their distance in Å.
Fractional positions:
Li: 0.0000 0.0000 0.0000  4 Cl 2.18
Cd: 0.5000 0.5000 0.5000  4 S 3.08, 8 Cl 3.38
S: 0.0000 0.0000 0.5000  2 Li 2.58
Cl: 0.0000 0.5000 0.0000  2 Li 2.18
Cl: 0.5000 0.0000 0.0000  2 Li 2.18

12.
Entry from Alexandria via LeMat-Bulk: a relaxed MgCd2Cl crystal (GGA-PBEsol).

polymorph energy (0 for the lowest one) = 0.133 eV/atom
space-group type = P4/mmm (123)

Unit cell a=4.0011 b=4.0011 c=5.9557 alpha=90.00 beta=90.00 gamma=90.00
Last column: nearest neighbours and their distance in Å.
Fractional positions:
Mg: 0.0000 0.0000 0.0000  4 Cl 2.83
Cd: 0.0000 0.5000 0.5000  4 Cd 2.83
Cd: 0.5000 0.0000 0.5000  4 Cd 2.83
Cl: 0.5000 0.5000 0.0000  4 Mg 2.83

13.
Entry from Alexandria via LeMat-Bulk: a relaxed MgCdCl4 crystal (GGA-PBEsol).

space-group type = F-43m (216)

Unit cell a=5.8246 b=5.8246 c=5.8246 alpha=60.00 beta=60.00 gamma=60.00
Last column: nearest neighbours and their distance in Å.
Fractional positions:
Mg: 0.0000 0.0000 0.0000  12 Cl 3.42, 4 Cd 3.57
Cd: 0.2500 0.2500 0.2500  12 Cl 3.41, 4 Mg 3.57
Cl: 0.1251 0.6250 0.6250  6 Cl 2.91
Cl: 0.6250 0.1251 0.6250  6 Cl 2.91
Cl: 0.6250 0.6250 0.1251  6 Cl 2.91
Cl: 0.6250 0.6250 0.6250  6 Cl 2.91

14.
Entry from Alexandria via LeMat-Bulk: a relaxed MgCd2Cl crystal (GGA-PBEsol).

polymorph energy (0 for the lowest one) = 0.000 eV/atom
space-group type = Cm (8)

Unit cell a=5.6703 b=5.6703 c=5.8970 alpha=114.30 beta=114.30 gamma=32.45
Last column: nearest neighbours and their distance in Å.
Fractional positions:
Mg: 0.0000 0.0000 0.0000  2 Cl 2.44
Cd: 0.2694 0.2694 0.6148  2 Mg 3.01, 5 Cd 3.07-3.17
Cd: 0.5021 0.5021 0.4520  5 Cd 3.07-3.17, 2 Mg 3.09, 1 Cl 3.21
Cl: 0.6796 0.6796 0.0490  2 Mg 2.44

15.
Entry from Alexandria via LeMat-Bulk: a relaxed MgCd2Cl crystal (GGA-PBEsol).

polymorph energy (0 for the lowest one) = 0.260 eV/atom
space-group type = F-43m (216)

Unit cell a=5.0945 b=5.0945 c=5.0945 alpha=60.00 beta=60.00 gamma=60.00
Last column: nearest neighbours and their distance in Å.
Fractional positions:
Mg: 0.0000 0.0000 0.0000  4 Cd 3.12, 4 Cl 3.12
Cd: 0.5000 0.5000 0.5000  4 Cd 3.12, 4 Cl 3.12
Cd: 0.7500 0.7500 0.7500  4 Cd 3.12, 4 Mg 3.12
Cl: 0.2500 0.2500 0.2500  4 Cd 3.12, 4 Mg 3.12

16.
Entry from Alexandria via LeMat-Bulk: a relaxed MgCdSCl2 crystal (GGA-PBEsol).

space-group type = P4/mmm (123)

Unit cell a=4.6242 b=4.6242 c=5.2067 alpha=90.00 beta=90.00 gamma=90.00
Last column: nearest neighbours and their distance in Å.
Fractional positions:
Mg: 0.0000 0.0000 0.0000  4 Cl 2.31
Cd: 0.5000 0.5000 0.5000  4 S 3.27, 8 Cl 3.48
S: 0.0000 0.0000 0.5000  2 Mg 2.60
Cl: 0.0000 0.5000 0.0000  2 Mg 2.31
Cl: 0.5000 0.0000 0.0000  2 Mg 2.31

17.
Entry from Alexandria via LeMat-Bulk: a relaxed MgCdSeCl2 crystal (GGA-PBEsol).

space-group type = P4/mmm (123)

Unit cell a=4.4767 b=4.4767 c=11.7541 alpha=90.00 beta=90.00 gamma=90.00
Last column: nearest neighbours and their distance in Å.
Fractional positions:
Mg: 0.0000 0.0000 0.0000  4 Cl 2.24
Cd: 0.0000 0.0000 0.5000  4 Se 3.17
Se: 0.5000 0.5000 0.5000  4 Cd 3.17
Cl: 0.0000 0.5000 0.0000  2 Mg 2.24
Cl: 0.5000 0.0000 0.0000  2 Mg 2.24

18.
Entry from Alexandria via LeMat-Bulk: a relaxed MnCdCl crystal (GGA-PBEsol).

polymorph energy (0 for the lowest one) = 0.081 eV/atom
space-group type = I4mm (107)

Unit cell a=6.4040 b=6.4040 c=6.4040 alpha=151.91 beta=151.91 gamma=40.14
Last column: nearest neighbours and their distance in Å.
Fractional positions:
Mn: 0.0000 0.0000 0.0000  4 Cl 2.59, 4 Cd 2.85
Cd: 0.6513 0.6513 0.0000  4 Mn 2.85, 4 Cd 3.11, 1 Cl 3.19
Cl: 0.3865 0.3865 0.0000  4 Mn 2.59

19.
Entry from Alexandria via LeMat-Bulk: a relaxed MnCdCl crystal (GGA-PBEsol).

polymorph energy (0 for the lowest one) = 0.000 eV/atom
space-group type = P3m1 (156)

Unit cell a=3.2431 b=3.2431 c=6.3889 alpha=90.00 beta=90.00 gamma=120.00
Last column: nearest neighbours and their distance in Å.
Fractional positions:
Mn: 0.0000 0.0000 0.0000  3 Cl 2.44
Cd: 0.6667 0.3333 0.6819  3 Mn 2.76
Cl: 0.3333 0.6667 0.2443  3 Mn 2.44

20.
Entry from Alexandria via LeMat-Bulk: a relaxed MnCdWCl2 crystal (GGA-PBEsol).

space-group type = P4/mmm (123)

Unit cell a=4.5832 b=4.5832 c=5.2983 alpha=90.00 beta=90.00 gamma=90.00
Last column: nearest neighbours and their distance in Å.
Fractional positions:
Mn: 0.0000 0.0000 0.0000  2 W 2.65
Cd: 0.5000 0.5000 0.0000  4 Mn 3.24, 8 Cl 3.50
W: 0.0000 0.0000 0.5000  4 Cl 2.29
Cl: 0.0000 0.5000 0.5000  2 W 2.29
Cl: 0.5000 0.0000 0.5000  2 W 2.29

21.
Entry from Alexandria via LeMat-Bulk: a relaxed CdMoCl4 crystal (GGA-PBEsol).

space-group type = F-43m (216)

Unit cell a=5.6962 b=5.6962 c=5.6962 alpha=60.00 beta=60.00 gamma=60.00
Last column: nearest neighbours and their distance in Å.
Fractional positions:
Cd: 0.0000 0.0000 0.0000  12 Cl 3.34, 4 Mo 3.49
Mo: 0.7500 0.7500 0.7500  12 Cl 3.34, 4 Cd 3.49
Cl: 0.3749 0.3749 0.3749  6 Cl 2.85
Cl: 0.3749 0.3749 0.8753  6 Cl 2.85
Cl: 0.3749 0.8753 0.3749  6 Cl 2.85
Cl: 0.8753 0.3749 0.3749  6 Cl 2.85

22.
Entry from Alexandria via LeMat-Bulk: a relaxed CdMo2Cl crystal (GGA-PBEsol).

polymorph energy (0 for the lowest one) = 0.159 eV/atom
space-group type = I-4m2 (119)

Unit cell a=4.6582 b=4.6582 c=4.6582 alpha=123.83 beta=123.83 gamma=83.49
Last column: nearest neighbours and their distance in Å.
Fractional positions:
Cd: 0.0000 0.0000 0.0000  4 Cl 2.80, 8 Mo 2.80-3.10
Mo: 0.2500 0.7500 0.5000  4 Cd 2.80, 4 Mo 2.80, 4 Cl 3.10
Mo: 0.5000 0.5000 0.0000  4 Cl 2.80, 4 Mo 2.80, 4 Cd 3.10
Cl: 0.7500 0.2500 0.5000  4 Cd 2.80, 8 Mo 2.80-3.10

23.
Entry from Alexandria via LeMat-Bulk: a relaxed CdMo2Cl crystal (GGA-PBEsol).

polymorph energy (0 for the lowest one) = 0.258 eV/atom
space-group type = I4/mmm (139)

Unit cell a=5.5439 b=5.5439 c=5.5439 alpha=140.18 beta=140.18 gamma=57.58
Last column: nearest neighbours and their distance in Å.
Fractional positions:
Cd: 0.0000 0.0000 0.0000  4 Cl 2.67
Mo: 0.2500 0.7500 0.5000  4 Mo 2.67
Mo: 0.7500 0.2500 0.5000  4 Mo 2.67
Cl: 0.5000 0.5000 0.0000  4 Cd 2.67

24.
Entry from Alexandria via LeMat-Bulk: a relaxed CdMoCl2 crystal (GGA-PBEsol).

space-group type = Cmmm (65)

Unit cell a=3.1365 b=3.1365 c=9.8370 alpha=90.00 beta=90.00 gamma=123.81
Last column: nearest neighbours and their distance in Å.
Fractional positions:
Cd: 0.0000 0.0000 0.0000  6 Cd 2.95-3.14
Mo: 0.0000 0.0000 0.5000  4 Cl 2.41
Cl: 0.5000 0.5000 0.3059  2 Mo 2.41
Cl: 0.5000 0.5000 0.6941  2 Mo 2.41

25.
Entry from Alexandria via LeMat-Bulk: a relaxed CdMo2Cl crystal (GGA-PBEsol).

polymorph energy (0 for the lowest one) = 0.000 eV/atom
space-group type = Pmmm (47)

Unit cell a=2.9067 b=4.7682 c=4.8807 alpha=90.00 beta=90.00 gamma=90.00
Last column: nearest neighbours and their distance in Å.
Fractional positions:
Cd: 0.0000 0.0000 0.0000  4 Cl 2.79, 4 Mo 2.84, 2 Cd 2.91
Mo: 0.0000 0.5000 0.5000  6 Mo 2.79-2.91, 4 Cl 2.84
Mo: 0.5000 0.0000 0.5000  6 Mo 2.79-2.91, 4 Cd 2.84
Cl: 0.5000 0.5000 0.0000  4 Cd 2.79, 4 Mo 2.84, 2 Cl 2.91

26.
Entry from Alexandria via LeMat-Bulk: a relaxed CdMoS2Cl crystal (GGA-PBEsol).

space-group type = P4/mmm (123)

Unit cell a=4.9186 b=4.9186 c=4.8282 alpha=90.00 beta=90.00 gamma=90.00
Last column: nearest neighbours and their distance in Å.
Fractional positions:
Cd: 0.0000 0.0000 0.0000  2 Cl 2.41, 4 S 2.46
Mo: 0.5000 0.5000 0.5000  8 S 3.45, 4 Cl 3.48
S: 0.0000 0.5000 0.0000  2 Cd 2.46
S: 0.5000 0.0000 0.0000  2 Cd 2.46
Cl: 0.0000 0.0000 0.5000  2 Cd 2.41

27.
Entry from Alexandria via LeMat-Bulk: a relaxed CdSe2NCl crystal (GGA-PBEsol).

space-group type = P4/mmm (123)

Unit cell a=4.9557 b=4.9557 c=3.9525 alpha=90.00 beta=90.00 gamma=90.00
Last column: nearest neighbours and their distance in Å.
Fractional positions:
Cd: 0.0000 0.0000 0.0000  8 Se 3.17, 4 N 3.50
Se: 0.0000 0.5000 0.5000  2 Cl 2.48
Se: 0.5000 0.0000 0.5000  2 Cl 2.48
N: 0.5000 0.5000 0.0000  2 Cl 1.98
Cl: 0.5000 0.5000 0.5000  2 N 1.98

28.
Entry from Alexandria via LeMat-Bulk: a relaxed CdSeNCl2 crystal (GGA-PBEsol).

space-group type = P4/mmm (123)

Unit cell a=5.3686 b=5.3686 c=3.6085 alpha=90.00 beta=90.00 gamma=90.00
Last column: nearest neighbours and their distance in Å.
Fractional positions:
Cd: 0.0000 0.0000 0.0000  8 Cl 3.23, 2 Cd 3.61
Se: 0.5000 0.5000 0.5000  2 N 1.80
N: 0.5000 0.5000 0.0000  2 Se 1.80
Cl: 0.0000 0.5000 0.5000  2 Se 2.68
Cl: 0.5000 0.0000 0.5000  2 Se 2.68

29.
Entry from Alexandria via LeMat-Bulk: a relaxed CdTeN2Cl crystal (GGA-PBEsol).

space-group type = P4/mmm (123)

Unit cell a=4.2452 b=4.2452 c=6.1896 alpha=90.00 beta=90.00 gamma=90.00
Last column: nearest neighbours and their distance in Å.
Fractional positions:
Cd: 0.0000 0.0000 0.0000  4 N 2.12
Te: 0.0000 0.0000 0.5000  4 Cl 3.00, 2 Cd 3.09
N: 0.0000 0.5000 0.0000  2 Cd 2.12
N: 0.5000 0.0000 0.0000  2 Cd 2.12
Cl: 0.5000 0.5000 0.5000  4 Te 3.00

no.,total DFT energy (no corrections) (eV per atom),total moment (μB per formula unit),raw formation energy (eV/atom)
1,-5.1453,0.000,1.39
2,-1.8557,0.000,-0.47
3,-2.1911,0.000,-0.75
4,-1.8098,0.544,-0.44
5,-2.0258,0.000,-0.64
6,-3.3415,0.000,-1.73
7,-2.0838,2.141,0.34
8,-2.4272,0.001,-0.61
9,-2.7975,4.365,0.98
10,-2.6718,0.441,0.83
11,-2.6979,0.897,-0.39
12,-1.7645,0.001,-0.23
13,-1.7018,1.922,0.12
14,-1.8973,0.000,-0.37
15,-1.6375,0.001,-0.11
16,-3.0054,0.000,-0.74
17,-2.7344,0.216,-0.58
18,-4.3406,3.965,-0.02
19,-4.4221,3.966,-0.10
20,-5.1574,4.246,0.60
21,-2.6196,2.239,0.88
22,-5.7795,0.000,0.91
23,-5.6803,0.001,1.00
24,-4.3903,1.046,-0.15
25,-5.9380,0.001,0.75
26,-3.8491,3.476,0.90
27,-2.6588,1.639,1.23
28,-3.0823,0.000,0.44
29,-3.1357,4.117,1.62